A plane-wave DFT calculation with PBE was carried out for a relaxed Ba4AgPd crystal.

Cell: 10.388 10.388 8.135 Å, 105.69 105.69 124.68°
Fractional coordinates of all 12 atoms:
Ba 0.044 0.420 0.242
Ba 0.181 0.290 0.735
Ba 0.290 0.181 0.235
Ba 0.420 0.044 0.742
Ba 0.580 0.956 0.258
Ba 0.710 0.819 0.765
Ba 0.819 0.710 0.265
Ba 0.956 0.580 0.758
Ag 0.427 0.573 0.250
Ag 0.573 0.427 0.750
Pd 0.070 0.930 0.750
Pd 0.930 0.070 0.250

Results
M_tot (Bohr magnetons per cell): 0.00
Calculated volume (Å³/atom): 48.89
Formation energy (eV per atom): -0.263
Calculated total energy (eV for the cell shown): -34.6


A plane-wave DFT calculation with PBE was carried out for a relaxed RbBi2Pd4 crystal.

Cell: 7.486 7.486 7.486 Å, 108.77 108.77 110.87°
Fractional coordinates of all 14 atoms:
Rb 0.250 0.250 0.000
Rb 0.750 0.750 0.000
Bi 0.151 0.651 0.801
Bi 0.349 0.151 0.500
Bi 0.651 0.849 0.500
Bi 0.849 0.349 0.199
Pd 0.020 0.810 0.500
Pd 0.190 0.690 0.211
Pd 0.310 0.520 0.500
Pd 0.480 0.980 0.789
Pd 0.520 0.020 0.211
Pd 0.690 0.480 0.500
Pd 0.810 0.310 0.789
Pd 0.980 0.190 0.500

Results
M_tot (Bohr magnetons per cell): 0.00
Calculated volume (Å³/atom): 23.05
Formation energy (eV per atom): -0.269
Calculated total energy (eV for the cell shown): -62.8


A plane-wave DFT calculation with PBE was carried out for a relaxed Mg2BeCo2 crystal.

Cell: 5.690 5.690 4.152 Å, 90.00 90.00 90.00°
Fractional coordinates of all 10 atoms:
Mg 0.174 0.326 0.000
Mg 0.326 0.826 0.000
Mg 0.674 0.174 0.000
Mg 0.826 0.674 0.000
Be 0.000 0.000 0.500
Be 0.500 0.500 0.500
Co 0.138 0.638 0.500
Co 0.362 0.138 0.500
Co 0.638 0.862 0.500
Co 0.862 0.362 0.500

Results
M_tot (Bohr magnetons per cell): 1.77
Calculated volume (Å³/atom): 13.44
Formation energy (eV per atom): 0.026
Calculated total energy (eV for the cell shown): -42.0


A plane-wave DFT calculation with PBE was carried out for a relaxed TaOsAu crystal.

Cell: 4.381 4.381 4.381 Å, 60.00 60.00 60.00°
Fractional coordinates of all 3 atoms:
Ta 0.000 0.000 0.000
Os 0.750 0.750 0.750
Au 0.500 0.500 0.500

Results
M_tot (Bohr magnetons per cell): 0.00
Calculated volume (Å³/atom): 19.82
Formation energy (eV per atom): 0.444
Calculated total energy (eV for the cell shown): -25.0


A plane-wave DFT calculation with PBE was carried out for a relaxed CaSmSc2Pt2 crystal.

Cell: 4.806 4.806 6.709 Å, 90.00 90.00 120.00°
Fractional coordinates of all 6 atoms:
Ca 0.000 0.000 0.000
Sm 0.000 0.000 0.500
Sc 0.333 0.667 0.202
Sc 0.667 0.333 0.798
Pt 0.333 0.667 0.752
Pt 0.667 0.333 0.248

Results
M_tot (Bohr magnetons per cell): 0.00
Calculated volume (Å³/atom): 22.36
Formation energy (eV per atom): -0.730
Calculated total energy (eV for the cell shown): -35.8


A plane-wave DFT calculation with PBE was carried out for a relaxed In2SiSb crystal.

Cell: 10.032 10.032 10.032 Å, 19.49 19.49 19.49°
Fractional coordinates of all 4 atoms:
In 0.241 0.241 0.241
In 0.759 0.759 0.759
Si 0.500 0.500 0.500
Sb 0.000 0.000 0.000

Results
M_tot (Bohr magnetons per cell): 0.00
Calculated volume (Å³/atom): 24.57
Formation energy (no corrections) (eV per atom): 0.321
Calculated total energy (eV for the cell shown): -13.7


A plane-wave DFT calculation with PBE was carried out for a relaxed CaFe4Cu crystal.

Cell: 4.983 4.983 4.983 Å, 60.00 60.00 60.00°
Fractional coordinates of all 6 atoms:
Ca 0.000 0.000 0.000
Fe 0.375 0.375 0.375
Fe 0.375 0.375 0.875
Fe 0.375 0.875 0.375
Fe 0.875 0.375 0.375
Cu 0.750 0.750 0.750

Results
M_tot (Bohr magnetons per cell): 9.78
Calculated volume (Å³/atom): 14.58
Formation energy (eV per atom): 0.287
Calculated total energy (eV for the cell shown): -38.2


A plane-wave DFT calculation with PBE was carried out for a relaxed Pm2InO crystal.

Cell: 4.670 4.670 9.099 Å, 90.12 90.12 90.00°
Fractional coordinates of all 8 atoms:
Pm 0.249 0.249 0.670
Pm 0.250 0.750 0.000
Pm 0.750 0.250 0.000
Pm 0.751 0.751 0.330
In 0.251 0.251 0.300
In 0.749 0.749 0.700
O 0.250 0.250 0.927
O 0.750 0.750 0.073

Results
M_tot (Bohr magnetons per cell): 0.00
Calculated volume (Å³/atom): 24.80
Formation energy (no corrections) (eV per atom): -1.593
Calculated total energy (eV for the cell shown): -47.1


A plane-wave DFT calculation with PBE was carried out for a relaxed Th2Cd16Ga crystal.

Cell: 7.637 7.637 7.637 Å, 83.35 83.35 83.35°
Fractional coordinates of all 19 atoms:
Th 0.000 0.000 0.000
Th 0.343 0.343 0.343
Cd 0.044 0.044 0.454
Cd 0.044 0.454 0.044
Cd 0.140 0.692 0.692
Cd 0.333 0.333 0.796
Cd 0.333 0.796 0.333
Cd 0.363 0.669 0.979
Cd 0.363 0.979 0.669
Cd 0.454 0.044 0.044
Cd 0.582 0.582 0.582
Cd 0.669 0.363 0.979
Cd 0.669 0.979 0.363
Cd 0.692 0.140 0.692
Cd 0.692 0.692 0.140
Cd 0.796 0.333 0.333
Cd 0.979 0.363 0.669
Cd 0.979 0.669 0.363
Ga 0.773 0.773 0.773

Results
M_tot (Bohr magnetons per cell): 0.00
Calculated volume (Å³/atom): 23.01
Formation energy (eV per atom): -0.066
Calculated total energy (eV for the cell shown): -33.8


A plane-wave DFT calculation with PBE was carried out for a relaxed Sn3Pd crystal.

Cell: 3.403 6.249 9.020 Å, 90.00 90.00 90.00°
Fractional coordinates of all 8 atoms:
Sn 0.250 0.010 0.154
Sn 0.250 0.490 0.154
Sn 0.250 0.750 0.565
Sn 0.750 0.250 0.435
Sn 0.750 0.510 0.846
Sn 0.750 0.990 0.846
Pd 0.250 0.250 0.678
Pd 0.750 0.750 0.322

Results
M_tot (Bohr magnetons per cell): 0.00
Calculated volume (Å³/atom): 23.98
Formation energy (eV per atom): -0.206
Calculated total energy (eV for the cell shown): -36.1


A plane-wave DFT calculation with PBE was carried out for a relaxed LaPm4Sn2 crystal.

Cell: 11.520 11.520 11.520 Å, 157.06 157.06 32.66°
Fractional coordinates of all 7 atoms:
La 0.000 0.000 0.000
Pm 0.134 0.134 0.000
Pm 0.250 0.750 0.500
Pm 0.750 0.250 0.500
Pm 0.866 0.866 0.000
Sn 0.383 0.383 0.000
Sn 0.617 0.617 0.000

Results
M_tot (Bohr magnetons per cell): 0.00
Calculated volume (Å³/atom): 33.14
Formation energy (eV per atom): -0.095
Calculated total energy (eV for the cell shown): -32.6


A plane-wave DFT calculation with PBE was carried out for a relaxed LiZnSnF6 crystal.

Cell: 5.243 5.243 4.814 Å, 90.00 90.00 120.00°
Fractional coordinates of all 9 atoms:
Li 0.000 0.000 0.000
Zn 0.667 0.333 0.000
Sn 0.333 0.667 0.500
F 0.334 0.006 0.234
F 0.334 0.328 0.766
F 0.672 0.006 0.766
F 0.672 0.666 0.234
F 0.994 0.328 0.234
F 0.994 0.666 0.766

Results
M_tot (Bohr magnetons per cell): 0.00
Calculated volume (Å³/atom): 12.73
Formation energy (no corrections) (eV per atom): -2.429
Calculated total energy (eV for the cell shown): -40.3